Record 1
{
  "formula": "Y2ScPdO6",
  "functional": "PBE",
  "state": "relaxed",
  "lattice": [[5.503, 0.000, 0.000], [2.685, 4.949, 0.000], [0.010, 3.091, 4.873]],
  "species": ["Y", "Y", "Sc", "Pd", "O", "O", "O", "O", "O", "O"],
  "frac_coords": [[0.000, 0.000, 0.000], [0.500, 0.005, 0.490], [0.220, 0.562, 0.646], [0.711, 0.577, 0.126], [0.102, 0.042, 0.358], [0.323, 0.103, 0.822], [0.430, 0.487, 0.343], [0.585, 0.482, 0.854], [0.838, 0.728, 0.342], [0.929, 0.725, 0.848]],
  "energy_ry_per_atom": -0.5933,
  "raw_formation_energy_kj_per_mol_atoms": -256
}

Record 2
{
  "formula": "Sc4ZnPdO",
  "functional": "PBE",
  "state": "relaxed",
  "lattice": [[3.043, -6.944, 0.000], [3.043, 6.944, 0.000], [0.000, 0.000, 6.085]],
  "species": ["Sc", "Sc", "Sc", "Sc", "Sc", "Sc", "Sc", "Sc", "Zn", "Zn", "Pd", "Pd", "O", "O"],
  "frac_coords": [[0.000, 0.500, 0.000], [0.000, 0.500, 0.500], [0.069, 0.931, 0.750], [0.424, 0.576, 0.750], [0.500, 0.000, 0.000], [0.500, 0.000, 0.500], [0.576, 0.424, 0.250], [0.931, 0.069, 0.250], [0.381, 0.619, 0.250], [0.619, 0.381, 0.750], [0.117, 0.883, 0.250], [0.883, 0.117, 0.750], [0.252, 0.748, 0.750], [0.748, 0.252, 0.250]],
  "energy_ry_per_atom": -0.4685,
  "raw_formation_energy_kj_per_mol_atoms": -108
}

Record 3
{
  "formula": "ScZnPdO4",
  "functional": "PBE",
  "state": "relaxed",
  "lattice": [[-3.158, 3.160, 4.248], [3.158, -3.160, 4.248], [3.158, 3.160, -4.248]],
  "species": ["Sc", "Sc", "Zn", "Zn", "Pd", "Pd", "O", "O", "O", "O", "O", "O", "O", "O"],
  "frac_coords": [[0.500, 0.000, 0.000], [0.500, 0.500, 0.500], [0.116, 0.366, 0.750], [0.884, 0.634, 0.250], [0.000, 0.000, 0.000], [0.500, 0.000, 0.500], [0.251, 0.237, 0.486], [0.251, 0.764, 0.014], [0.268, 0.245, 0.023], [0.279, 0.755, 0.523], [0.721, 0.245, 0.477], [0.732, 0.755, 0.977], [0.749, 0.236, 0.986], [0.749, 0.763, 0.514]],
  "energy_ry_per_atom": -0.4702,
  "raw_formation_energy_kj_per_mol_atoms": -167
}

Record 4
{
  "formula": "ZrSc2PdO",
  "functional": "PBE",
  "state": "relaxed",
  "lattice": [[4.336, 0.000, 0.000], [0.000, 4.336, 0.000], [0.000, 0.000, 4.475]],
  "species": ["Zr", "Sc", "Sc", "Pd", "O"],
  "frac_coords": [[0.000, 0.000, 0.000], [0.000, 0.500, 0.500], [0.500, 0.000, 0.500], [0.500, 0.500, 0.000], [0.000, 0.000, 0.500]],
  "energy_ry_per_atom": -0.5666,
  "raw_formation_energy_kj_per_mol_atoms": -139
}